{"formula": "Zn3RuS", "functional": "PBE", "state": "relaxed", "lattice": [[4.506, 0.000, 0.000], [0.000, 4.506, 0.000], [0.000, 0.000, 4.506]], "species": ["Zn", "Zn", "Zn", "Ru", "S"], "frac_coords": [[0.000, 0.000, 0.500], [0.000, 0.500, 0.000], [0.500, 0.000, 0.000], [0.500, 0.500, 0.500], [0.000, 0.000, 0.000]], "e_above_lowest_polymorph_mev_per_atom": 98, "volume_a3_per_cell": 91.5, "raw_formation_energy_ev_per_atom": 0.910, "e_tot_ev_per_atom": -2.54, "space_group": "Pm-3m"}

{"formula": "LiMgMnOs", "functional": "PBE", "state": "relaxed", "lattice": [[5.919, 0.000, 0.000], [0.000, 5.919, 0.000], [0.000, 0.000, 5.919]], "species": ["Li", "Li", "Li", "Li", "Mg", "Mg", "Mg", "Mg", "Mn", "Mn", "Mn", "Mn", "Os", "Os", "Os", "Os"], "frac_coords": [[0.000, 0.000, 0.000], [0.000, 0.500, 0.500], [0.500, 0.000, 0.500], [0.500, 0.500, 0.000], [0.250, 0.250, 0.750], [0.250, 0.750, 0.250], [0.750, 0.250, 0.250], [0.750, 0.750, 0.750], [0.000, 0.000, 0.500], [0.000, 0.500, 0.000], [0.500, 0.000, 0.000], [0.500, 0.500, 0.500], [0.250, 0.250, 0.250], [0.250, 0.750, 0.750], [0.750, 0.250, 0.750], [0.750, 0.750, 0.250]], "volume_a3_per_cell": 207.3, "e_tot_ev_per_atom": -5.82, "space_group": "F-43m"}

{"formula": "AgMoW", "functional": "PBE", "state": "relaxed", "lattice": [[3.223, 0.000, 0.000], [0.000, 4.442, 0.000], [0.000, 0.000, 13.947]], "species": ["Ag", "Ag", "Ag", "Ag", "Mo", "Mo", "Mo", "Mo", "W", "W", "W", "W"], "frac_coords": [[0.000, 0.000, 0.000], [0.000, 0.500, 0.500], [0.500, 0.000, 0.500], [0.500, 0.500, 0.000], [0.000, 0.000, 0.673], [0.000, 0.500, 0.173], [0.500, 0.000, 0.173], [0.500, 0.500, 0.673], [0.000, 0.000, 0.327], [0.000, 0.500, 0.827], [0.500, 0.000, 0.827], [0.500, 0.500, 0.327]], "e_above_lowest_polymorph_mev_per_atom": 0, "volume_a3_per_cell": 199.7, "e_tot_ev_per_atom": -8.48, "space_group": "Fmm2"}